Crystalline Mn3NiAg at its relaxed geometry. Source: Alexandria, functional PBE-GGA.

Computed properties:
- DFT total energy (Ry/atom) = -0.476
- total magnetic moment (Bohr magnetons per cell) = 12.9
- space-group type = Pm-3m (221)
- energy above the most stable polymorph in this dataset (eV/f.u.) = 0.00
- DFT formation energy (kJ per mole of atoms) = 72.7
- density (g/cm³) = 5.88

a = 4.5408 Å, b = 4.5408 Å, c = 4.5408 Å
α = 90.00°, β = 90.00°, γ = 90.00°
With the nearest neighbours (Å) after each atom.
Positions (direct):
1 Mn 0.0000 0.0000 0.5000  2 Ni 2.27
2 Mn 0.5000 0.0000 0.0000  2 Ni 2.27
3 Mn 0.0000 0.5000 0.0000  2 Ni 2.27
4 Ni 0.0000 0.0000 0.0000  6 Mn 2.27
5 Ag 0.5000 0.5000 0.5000  12 Mn 3.21

***

Crystalline ZnRu2Au at its relaxed geometry. Source: Alexandria, functional PBE-GGA.

Computed properties:
- DFT total energy (Ry/atom) = -0.405
- total magnetic moment (Bohr magnetons per cell) = 1.0
- space-group type = Cmm2 (35)
- DFT formation energy (kJ per mole of atoms) = 25.9
- density (g/cm³) = 12.51

a = 2.7509 Å, b = 2.7509 Å, c = 9.2606 Å
α = 90.00°, β = 90.00°, γ = 118.35°
With the nearest neighbours (Å) after each atom.
Positions (direct):
1 Ru 0.5000 0.5000 0.2497  8 Ru 2.57-2.82, 2 Zn 2.62
2 Ru 0.0000 0.0000 0.0173  8 Ru 2.57-2.82
3 Zn 0.0000 0.0000 0.4888  2 Ru 2.62, 6 Zn 2.75-2.82, 2 Au 2.75
4 Au 0.5000 0.5000 0.7441  6 Au 2.75-2.82, 2 Zn 2.75, 2 Ru 2.90

***

Crystalline Er3MgPb5 at its relaxed geometry. Source: Alexandria, functional PBE-GGA.

Computed properties:
- DFT total energy (Ry/atom) = -0.297
- total magnetic moment (Bohr magnetons per cell) = 0.0
- space-group type = P6_3/mcm (193)
- DFT formation energy (kJ per mole of atoms) = -27.5
- density (g/cm³) = 10.46

a = 6.4875 Å, b = 9.3933 Å, c = 9.3933 Å
α = 120.00°, β = 90.00°, γ = 90.00°
With the nearest neighbours (Å) after each atom.
Positions (direct):
1 Er 0.2500 0.0000 0.6222  9 Pb 3.17-3.36
2 Er 0.7500 0.3778 0.0000  9 Pb 3.17-3.36
3 Er 0.2500 0.3778 0.3778  9 Pb 3.17-3.36
4 Er 0.2500 0.6222 0.0000  9 Pb 3.17-3.36
5 Er 0.7500 0.6222 0.6222  9 Pb 3.17-3.36
6 Er 0.7500 0.0000 0.3778  9 Pb 3.17-3.36
7 Pb 0.7500 0.7158 0.0000  2 Mg 3.12, 5 Er 3.17-3.36
8 Pb 0.0000 0.3333 0.6667  2 Pb 3.24, 6 Er 3.36
9 Pb 0.2500 0.0000 0.2842  2 Mg 3.12, 5 Er 3.17-3.36
10 Pb 0.2500 0.2842 0.0000  2 Mg 3.12, 5 Er 3.17-3.36
11 Pb 0.7500 0.0000 0.7158  2 Mg 3.12, 5 Er 3.17-3.36
12 Pb 0.5000 0.3333 0.6667  2 Pb 3.24, 6 Er 3.36
13 Pb 0.7500 0.2842 0.2842  2 Mg 3.12, 5 Er 3.17-3.36
14 Pb 0.2500 0.7158 0.7158  2 Mg 3.12, 5 Er 3.17-3.36
15 Pb 0.5000 0.6667 0.3333  2 Pb 3.24, 6 Er 3.36
16 Pb 0.0000 0.6667 0.3333  2 Pb 3.24, 6 Er 3.36
17 Mg 0.0000 0.0000 0.0000  6 Pb 3.12, 2 Mg 3.24
18 Mg 0.5000 0.0000 0.0000  6 Pb 3.12, 2 Mg 3.24

***

Crystalline Cd4HgRu at its relaxed geometry. Source: Alexandria, functional PBE-GGA.

Computed properties:
- DFT total energy (Ry/atom) = -0.127
- total magnetic moment (Bohr magnetons per cell) = 0.4
- space-group type = F-43m (216)
- DFT formation energy (kJ per mole of atoms) = 46.6
- density (g/cm³) = 10.06

a = 5.5982 Å, b = 5.5982 Å, c = 5.5982 Å
α = 60.00°, β = 60.00°, γ = 60.00°
With the nearest neighbours (Å) after each atom.
Positions (direct):
1 Ru 0.0000 0.0000 0.0000  12 Cd 3.28, 4 Hg 3.43
2 Hg 0.7500 0.7500 0.7500  12 Cd 3.28, 4 Ru 3.43
3 Cd 0.3744 0.3744 0.3744  6 Cd 2.79-2.81
4 Cd 0.8767 0.3744 0.3744  6 Cd 2.79-2.81
5 Cd 0.3744 0.8767 0.3744  6 Cd 2.79-2.81
6 Cd 0.3744 0.3744 0.8767  6 Cd 2.79-2.81

***

Crystalline LaTlAsBr2 at its relaxed geometry. Source: Alexandria, functional PBE-GGA.

Computed properties:
- DFT total energy (Ry/atom) = -0.290
- total magnetic moment (Bohr magnetons per cell) = 0.7
- space-group type = P4/mmm (123)
- energy above the most stable polymorph in this dataset (eV/f.u.) = 0.00
- ΔE_f (raw) (meV/atom) = -887
- density (g/cm³) = 4.78

a = 5.8670 Å, b = 5.8670 Å, c = 5.8359 Å
α = 90.00°, β = 90.00°, γ = 90.00°
With the nearest neighbours (Å) after each atom.
Positions (direct):
1 Br 0.0000 0.5000 0.0000  2 La 2.93
2 Br 0.5000 0.0000 0.0000  2 La 2.93
3 As 0.0000 0.0000 0.5000  2 La 2.92
4 Tl 0.5000 0.5000 0.5000  8 Br 4.14, 4 As 4.15
5 La 0.0000 0.0000 0.0000  2 As 2.92, 4 Br 2.93

***

Crystalline ScSn2Pd6 at its relaxed geometry. Source: Alexandria, functional PBE-GGA.

Computed properties:
- DFT total energy (Ry/atom) = -0.419
- total magnetic moment (Bohr magnetons per cell) = 0.0
- space-group type = C2/m (12)
- energy above the most stable polymorph in this dataset (eV/f.u.) = 0.00
- DFT formation energy (kJ per mole of atoms) = -62.0
- density (g/cm³) = 10.01

a = 4.2487 Å, b = 4.9067 Å, c = 8.7266 Å
α = 69.50°, β = 75.91°, γ = 64.35°
With the nearest neighbours (Å) after each atom.
Positions (direct):
1 Pd 0.6554 0.0914 0.5979  3 Sc 2.76-2.96, 4 Sn 2.83-3.01, 5 Pd 2.87-2.98
2 Pd 0.9902 0.1954 0.8242  1 Sc 2.70, 3 Sn 2.74-2.83, 8 Pd 2.84-2.99
3 Pd 0.3402 0.2592 0.0604  3 Sn 2.70-2.80, 9 Pd 2.76-2.98
4 Pd 0.3446 0.9086 0.4021  3 Sc 2.76-2.96, 4 Sn 2.83-3.01, 5 Pd 2.87-2.98
5 Pd 0.0098 0.8046 0.1758  1 Sc 2.70, 3 Sn 2.74-2.83, 8 Pd 2.84-2.99
6 Pd 0.6598 0.7408 0.9396  3 Sn 2.70-2.80, 9 Pd 2.76-2.98
7 Sn 0.3095 0.6337 0.7473  10 Pd 2.70-3.01
8 Sn 0.6905 0.3663 0.2527  10 Pd 2.70-3.01
9 Sc 0.0000 0.5000 0.5000  8 Pd 2.70-2.96

***

Crystalline MgRe at its relaxed geometry. Source: Alexandria, functional PBE-GGA.

Computed properties:
- DFT total energy (Ry/atom) = -0.454
- total magnetic moment (Bohr magnetons per cell) = 0.0
- space-group type = P2_13 (198)
- energy above the most stable polymorph in this dataset (eV/f.u.) = 1.57
- DFT formation energy (kJ per mole of atoms) = 82.0
- density (g/cm³) = 10.79

a = 5.0599 Å, b = 5.0599 Å, c = 5.0599 Å
α = 90.00°, β = 90.00°, γ = 90.00°
With the nearest neighbours (Å) after each atom.
Positions (direct):
1 Mg 0.4008 0.4008 0.4008  7 Re 2.57-2.78
2 Mg 0.5992 0.9008 0.0992  7 Re 2.57-2.78
3 Mg 0.0992 0.5992 0.9008  7 Re 2.57-2.78
4 Mg 0.9008 0.0992 0.5992  7 Re 2.57-2.78
5 Re 0.8922 0.6078 0.3922  7 Mg 2.57-2.78
6 Re 0.3922 0.8922 0.6078  7 Mg 2.57-2.78
7 Re 0.6078 0.3922 0.8922  7 Mg 2.57-2.78
8 Re 0.1078 0.1078 0.1078  7 Mg 2.57-2.78

***

Crystalline BaInP2Cl at its relaxed geometry. Source: Alexandria, functional PBE-GGA.

Computed properties:
- DFT total energy (Ry/atom) = -0.287
- total magnetic moment (Bohr magnetons per cell) = 0.0
- space-group type = P4/mmm (123)
- energy above the most stable polymorph in this dataset (eV/f.u.) = 0.00
- ΔE_f (raw) (meV/atom) = -442
- density (g/cm³) = 4.07

a = 5.0184 Å, b = 5.0184 Å, c = 5.6587 Å
α = 90.00°, β = 90.00°, γ = 90.00°
With the nearest neighbours (Å) after each atom.
Positions (direct):
1 In 0.0000 0.0000 0.0000  4 P 2.51
2 Cl 0.0000 0.0000 0.5000  2 In 2.83
3 P 0.0000 0.5000 0.0000  2 In 2.51
4 P 0.5000 0.0000 0.0000  2 In 2.51
5 Ba 0.5000 0.5000 0.5000  4 Cl 3.55, 8 P 3.78

***

Crystalline AgSb2 at its relaxed geometry. Source: Alexandria, functional PBE-GGA.

Computed properties:
- DFT total energy (Ry/atom) = -0.264
- total magnetic moment (Bohr magnetons per cell) = 0.0
- space-group type = C2/m (12)
- ΔE_f (raw) (meV/atom) = 110
- density (g/cm³) = 7.52

a = 6.6410 Å, b = 6.6410 Å, c = 6.0518 Å
α = 78.97°, β = 78.97°, γ = 36.39°
With the nearest neighbours (Å) after each atom.
Positions (direct):
1 Sb 0.2923 0.2923 0.9821  2 Sb 2.98, 4 Ag 3.00-3.15
2 Sb 0.9854 0.9854 0.6290  2 Sb 2.98, 4 Ag 3.00-3.15
3 Sb 0.6580 0.6580 0.5319  3 Sb 2.88-2.98, 2 Ag 3.03
4 Sb 0.6198 0.6198 0.0792  3 Sb 2.88-2.98, 2 Ag 3.03
5 Ag 0.3362 0.3362 0.4760  6 Sb 3.00-3.15, 2 Ag 3.04
6 Ag 0.9416 0.9416 0.1351  6 Sb 3.00-3.15, 2 Ag 3.04

***

Crystalline HoZrPd4 at its relaxed geometry. Source: Alexandria, functional PBE-GGA.

Computed properties:
- DFT total energy (Ry/atom) = -0.473
- total magnetic moment (Bohr magnetons per cell) = 0.0
- space-group type = Cmcm (63)
- energy above the most stable polymorph in this dataset (eV/f.u.) = 0.00
- DFT formation energy (kJ per mole of atoms) = -75.9
- density (g/cm³) = 10.48

a = 4.1565 Å, b = 8.0850 Å, c = 12.8647 Å
α = 90.00°, β = 90.00°, γ = 90.00°
With the nearest neighbours (Å) after each atom.
Positions (direct):
1 Pd 0.2500 0.9836 0.0838  3 Zr 2.83, 7 Pd 2.86-3.01, 2 Ho 2.90-3.01
2 Pd 0.2500 0.4836 0.4162  3 Zr 2.83, 7 Pd 2.86-3.01, 2 Ho 2.90-3.01
3 Pd 0.7500 0.0000 0.2500  4 Ho 2.91, 6 Pd 2.94-2.98, 2 Zr 3.18
4 Pd 0.7500 0.9836 0.5838  3 Zr 2.83, 7 Pd 2.86-3.01, 2 Ho 2.90-3.00
5 Pd 0.7500 0.4836 0.9162  3 Zr 2.83, 7 Pd 2.86-3.01, 2 Ho 2.90-3.00
6 Pd 0.2500 0.2500 0.5835  2 Zr 2.77, 2 Ho 2.84, 8 Pd 2.86-2.99
7 Pd 0.7500 0.5000 0.2500  4 Ho 2.91, 6 Pd 2.94-2.98, 2 Zr 3.18
8 Pd 0.2500 0.0164 0.4162  3 Zr 2.83, 7 Pd 2.86-3.01, 2 Ho 2.90-3.00
9 Pd 0.7500 0.2500 0.0835  2 Zr 2.77, 2 Ho 2.84, 8 Pd 2.86-2.99
10 Pd 0.2500 0.0000 0.7500  4 Ho 2.91, 6 Pd 2.94-2.98, 2 Zr 3.18
11 Pd 0.7500 0.7500 0.4165  2 Zr 2.77, 2 Ho 2.84, 8 Pd 2.86-2.99
12 Pd 0.2500 0.5000 0.7500  4 Ho 2.91, 6 Pd 2.94-2.98, 2 Zr 3.18
13 Pd 0.2500 0.5164 0.0838  3 Zr 2.83, 7 Pd 2.86-3.01, 2 Ho 2.90-3.00
14 Pd 0.2500 0.7500 0.9165  2 Zr 2.77, 2 Ho 2.84, 8 Pd 2.86-2.99
15 Pd 0.7500 0.0164 0.9162  3 Zr 2.83, 7 Pd 2.86-3.01, 2 Ho 2.90-3.01
16 Pd 0.7500 0.5164 0.5838  3 Zr 2.83, 7 Pd 2.86-3.01, 2 Ho 2.90-3.01
17 Zr 0.7500 0.2500 0.4410  8 Pd 2.77-2.83
18 Zr 0.7500 0.7500 0.0590  8 Pd 2.77-2.83
19 Zr 0.2500 0.7500 0.5590  8 Pd 2.77-2.83
20 Zr 0.2500 0.2500 0.9410  8 Pd 2.77-2.83
21 Ho 0.2500 0.7500 0.2655  10 Pd 2.84-3.01
22 Ho 0.7500 0.7500 0.7655  10 Pd 2.84-3.01
23 Ho 0.2500 0.2500 0.2345  10 Pd 2.84-3.01
24 Ho 0.7500 0.2500 0.7345  10 Pd 2.84-3.01

***

Crystalline SbRh3O at its relaxed geometry. Source: Alexandria, functional PBE-GGA.

Computed properties:
- DFT total energy (Ry/atom) = -0.346
- total magnetic moment (Bohr magnetons per cell) = 3.2
- space-group type = Pm-3m (221)
- energy above the most stable polymorph in this dataset (eV/f.u.) = 7.04
- ΔE_f (raw) (meV/atom) = 1521
- density (g/cm³) = 6.35

a = 4.8882 Å, b = 4.8882 Å, c = 4.8882 Å
α = 90.00°, β = 90.00°, γ = 90.00°
With the nearest neighbours (Å) after each atom.
Positions (direct):
1 Rh 0.0000 0.5000 0.0000  2 Sb 2.44
2 Rh 0.5000 0.0000 0.0000  2 Sb 2.44
3 Rh 0.0000 0.0000 0.5000  2 Sb 2.44
4 Sb 0.0000 0.0000 0.0000  6 Rh 2.44
5 O 0.5000 0.5000 0.5000  12 Rh 3.46

***

Crystalline KLiCd2Cu at its relaxed geometry. Source: Alexandria, functional PBE-GGA.

Computed properties:
- DFT total energy (Ry/atom) = -0.129
- total magnetic moment (Bohr magnetons per cell) = 0.0
- space-group type = P4/mmm (123)
- DFT formation energy (kJ per mole of atoms) = 2.7
- density (g/cm³) = 4.11

a = 5.1530 Å, b = 5.1530 Å, c = 5.0930 Å
α = 90.00°, β = 90.00°, γ = 90.00°
With the nearest neighbours (Å) after each atom.
Positions (direct):
1 Cd 0.0000 0.5000 0.0000  2 Cu 2.58
2 Cd 0.5000 0.0000 0.0000  2 Cu 2.58
3 Li 0.0000 0.0000 0.5000  2 Cu 2.55
4 Cu 0.0000 0.0000 0.0000  2 Li 2.55, 4 Cd 2.58
5 K 0.5000 0.5000 0.5000  8 Cd 3.62, 4 Li 3.64